The following is a PBE-GGA calculation of La2CePuSb4 after structural relaxation, from Alexandria.

The structure in POSCAR format:
```
La2CePuSb4
1.0
7.429 0.000 0.000
0.000 4.646 0.000
-2.874 0.000 7.564
La Ce Pu Sb
2 1 1 4
Direct
0.000 0.000 0.000
0.500 0.500 0.000
0.000 0.500 0.500
0.500 0.000 0.500
0.247 0.000 0.740
0.255 0.500 0.261
0.745 0.500 0.739
0.753 0.000 0.260
```

Computed properties:
**Magnetization**: 0.736 μB per atom
**Raw total energy**: -6.851 eV per atom
**Fermi-level density of states**: 20.671 states/eV/f.u.
**ΔE_f (raw)**: -1.025 eV/atom